[1]
A plane-wave DFT calculation with PBE was carried out for BaLaC2 after structural relaxation.

Structure (POSCAR):
```
BaLaC2
1.0
0.000 3.416 3.416
3.416 0.000 3.416
3.416 3.416 0.000
Ba La C
1 1 2
direct
0.000 0.000 0.000
0.500 0.500 0.500
0.250 0.250 0.250
0.750 0.750 0.750
```

Computed properties:
Space group: Fm-3m
Calculated formation energy, eV per atom: 1.2042
Volume, Å³/atom: 19.924
Raw total energy, eV per atom: -5.1203

[2]
A plane-wave DFT calculation with PBE was carried out for BaLa2C after structural relaxation.

Structure (POSCAR):
```
BaLa2C
1.0
-3.968 3.968 5.613
3.968 -3.968 5.613
3.968 3.968 -5.613
Ba La C
2 4 2
direct
0.000 0.000 0.000
0.750 0.250 0.500
0.367 0.625 0.242
0.375 0.617 0.742
0.383 0.125 0.758
0.875 0.633 0.258
0.250 0.750 0.500
0.500 0.500 0.000
```

Computed properties:
Space group: I-42d
Calculated formation energy, eV per atom: 0.2522
Volume, Å³/atom: 44.196
Raw total energy, eV per atom: -4.9981

Repeat the first record exactly.
A plane-wave DFT calculation with PBE was carried out for BaLaC2 after structural relaxation.

Structure (POSCAR):
```
BaLaC2
1.0
0.000 3.416 3.416
3.416 0.000 3.416
3.416 3.416 0.000
Ba La C
1 1 2
direct
0.000 0.000 0.000
0.500 0.500 0.500
0.250 0.250 0.250
0.750 0.750 0.750
```

Computed properties:
Space group: Fm-3m
Calculated formation energy, eV per atom: 1.2042
Volume, Å³/atom: 19.924
Raw total energy, eV per atom: -5.1203

Question: Look up the volume of the first one.
Answer: 19.924 Å³/atom